1:
The following is a DFT calculation (PBE-GGA) of a relaxed structure of KTaIn3.

Structure (CIF):
```
data_KTaIn3
_chemical_formula_sum 'K1 Ta1 In3'
_space_group_name_H-M_alt 'P m -3 m'
_space_group_IT_number 221
_space_group_name_Hall '-P 4 2 3'
_cell_length_a 5.4933
_cell_length_b 5.4933
_cell_length_c 5.4933
_cell_angle_alpha 90.00
_cell_angle_beta 90.00
_cell_angle_gamma 90.00
loop_
_atom_site_label
_atom_site_type_symbol
_atom_site_fract_x
_atom_site_fract_y
_atom_site_fract_z
_atom_site_occupancy
K1 K 0.0000 0.0000 0.0000 1
Ta1 Ta 0.5000 0.5000 0.5000 1
In1 In 0.0000 0.0000 0.5000 1
```

***

2:
The following is a DFT calculation (PBE-GGA) of a relaxed structure of KTaIn3.

Structure (CIF):
```
data_KTaIn3
_chemical_formula_sum 'K1 Ta1 In3'
_space_group_name_H-M_alt 'P m -3 m'
_space_group_IT_number 221
_space_group_name_Hall '-P 4 2 3'
_cell_length_a 5.5042
_cell_length_b 5.5042
_cell_length_c 5.5042
_cell_angle_alpha 90.00
_cell_angle_beta 90.00
_cell_angle_gamma 90.00
loop_
_atom_site_label
_atom_site_type_symbol
_atom_site_fract_x
_atom_site_fract_y
_atom_site_fract_z
_atom_site_occupancy
K1 K 0.0000 0.0000 0.0000 1
Ta1 Ta 0.5000 0.5000 0.5000 1
In1 In 0.0000 0.5000 0.5000 1
```

***

It turns out 2 is the most stable, with the second structure 1586 meV/atom higher.

***

1:
The following is a DFT calculation (PBE-GGA) of a relaxed structure of KInTc3.

Structure (CIF):
```
data_KInTc3
_chemical_formula_sum 'K1 In1 Tc3'
_space_group_name_H-M_alt 'P m -3 m'
_space_group_IT_number 221
_space_group_name_Hall '-P 4 2 3'
_cell_length_a 4.5965
_cell_length_b 4.5965
_cell_length_c 4.5965
_cell_angle_alpha 90.00
_cell_angle_beta 90.00
_cell_angle_gamma 90.00
loop_
_atom_site_label
_atom_site_type_symbol
_atom_site_fract_x
_atom_site_fract_y
_atom_site_fract_z
_atom_site_occupancy
K1 K 0.0000 0.0000 0.0000 1
In1 In 0.5000 0.5000 0.5000 1
Tc1 Tc 0.0000 0.0000 0.5000 1
```

***

2:
The following is a DFT calculation (PBE-GGA) of a relaxed structure of KInTc3.

Structure (CIF):
```
data_KInTc3
_chemical_formula_sum 'K1 In1 Tc3'
_space_group_name_H-M_alt 'P m -3 m'
_space_group_IT_number 221
_space_group_name_Hall '-P 4 2 3'
_cell_length_a 5.2000
_cell_length_b 5.2000
_cell_length_c 5.2000
_cell_angle_alpha 90.00
_cell_angle_beta 90.00
_cell_angle_gamma 90.00
loop_
_atom_site_label
_atom_site_type_symbol
_atom_site_fract_x
_atom_site_fract_y
_atom_site_fract_z
_atom_site_occupancy
K1 K 0.0000 0.0000 0.0000 1
In1 In 0.5000 0.5000 0.5000 1
Tc1 Tc 0.0000 0.5000 0.5000 1
```

***

It turns out 2 is the most stable, with the second structure 663 meV/atom higher.